Record 1
VASP calculation (GGA-PBEsol) on a relaxed structure of AgTe3.

Properties
The electronic total energy is -12.79 eV for the cell shown. For the density of states at the Fermi level, the calculation gives 0.693 states/eV per atom. Its magnetization is 0.00 μB per formula unit. Its crystal system is tetragonal. The uncorrected formation energy is 0.276 eV/atom.

Geometry as POSCAR:
```
AgTe3
1.0
5.337 0.000 0.000
0.000 5.337 0.000
0.000 0.000 3.509
Ag Te
1 3
Cartesian
0.000 0.000 0.000
0.000 2.669 1.755
2.669 0.000 1.755
2.669 2.669 0.000
```

Record 2
VASP calculation (GGA-PBEsol) on a relaxed structure of AgTe.

Properties
The electronic total energy is -80.79 eV for the cell shown. For the density of states at the Fermi level, the calculation gives 0.394 states/eV per atom. Its magnetization is 0.00 μB per formula unit. Its crystal system is orthorhombic. The uncorrected formation energy is 0.052 eV/atom.

Geometry as POSCAR:
```
AgTe
1.0
12.388 0.000 0.000
0.000 7.912 0.000
0.000 0.000 5.976
Ag Te
12 12
Cartesian
0.327 0.241 1.494
0.327 3.715 4.482
4.822 4.315 4.482
4.822 7.553 1.494
5.526 1.978 0.000
5.526 1.978 2.988
6.862 5.934 0.000
6.862 5.934 2.988
7.566 0.359 4.482
7.566 3.597 1.494
12.061 4.196 1.494
12.061 7.671 4.482
1.347 5.934 0.000
1.347 5.934 2.988
2.828 1.650 1.494
2.828 2.306 4.482
4.655 4.726 1.494
4.655 7.141 4.482
7.733 0.770 1.494
7.733 3.186 4.482
9.559 5.606 1.494
9.559 6.261 4.482
11.040 1.978 0.000
11.040 1.978 2.988
```

Copy entry 2 word for word.
VASP calculation (GGA-PBEsol) on a relaxed structure of AgTe.

Properties
The electronic total energy is -80.79 eV for the cell shown. For the density of states at the Fermi level, the calculation gives 0.394 states/eV per atom. Its magnetization is 0.00 μB per formula unit. Its crystal system is orthorhombic. The uncorrected formation energy is 0.052 eV/atom.

Geometry as POSCAR:
```
AgTe
1.0
12.388 0.000 0.000
0.000 7.912 0.000
0.000 0.000 5.976
Ag Te
12 12
Cartesian
0.327 0.241 1.494
0.327 3.715 4.482
4.822 4.315 4.482
4.822 7.553 1.494
5.526 1.978 0.000
5.526 1.978 2.988
6.862 5.934 0.000
6.862 5.934 2.988
7.566 0.359 4.482
7.566 3.597 1.494
12.061 4.196 1.494
12.061 7.671 4.482
1.347 5.934 0.000
1.347 5.934 2.988
2.828 1.650 1.494
2.828 2.306 4.482
4.655 4.726 1.494
4.655 7.141 4.482
7.733 0.770 1.494
7.733 3.186 4.482
9.559 5.606 1.494
9.559 6.261 4.482
11.040 1.978 0.000
11.040 1.978 2.988
```

What is the magnetization in the second record?
0.00 μB per formula unit